(1)
Entry from Alexandria: SiHg3P at its PBEsol-relaxed geometry (meta-GGA SCAN).

POSCAR file:
```
SiHg3P
1.0
5.000 0.000 0.000
0.000 5.000 0.000
0.000 0.000 5.000
P Si Hg
1 1 3
direct
0.000 0.000 0.000
0.500 0.500 0.500
0.000 0.500 0.000
0.000 0.000 0.500
0.500 0.000 0.000
```

## Properties
- ΔE_f (raw) (eV per atom) = 0.82
- symmetry = Pm-3m, No. 221
- raw total energy (eV per cell) = -220.81

---

(2)
Entry from Alexandria: SiHgP at its PBEsol-relaxed geometry (meta-GGA SCAN).

POSCAR file:
```
SiHgP
1.0
4.472 0.000 0.000
2.236 3.873 0.000
2.236 1.291 3.651
P Si Hg
1 1 1
direct
0.000 0.000 0.000
0.500 0.500 0.500
0.750 0.750 0.750
```

## Properties
- ΔE_f (raw) (eV per atom) = 0.89
- symmetry = F-43m, No. 216
- raw total energy (eV per cell) = -85.91

---

(3)
Entry from Alexandria: Zn2SiHgP at its PBEsol-relaxed geometry (meta-GGA SCAN).

POSCAR file:
```
Zn2SiHgP
1.0
4.513 0.000 0.000
0.000 4.741 0.000
0.000 0.000 4.741
P Zn Si Hg
1 2 1 1
direct
0.500 0.000 0.000
0.000 0.000 0.500
0.000 0.500 0.000
0.000 0.000 0.000
0.500 0.500 0.500
```

## Properties
- ΔE_f (raw) (eV per atom) = 0.53
- symmetry = P4/mmm, No. 123
- raw total energy (eV per cell) = -112.95

---

(4)
Entry from Alexandria: SrSnHg2P at its PBEsol-relaxed geometry (meta-GGA SCAN).

POSCAR file:
```
SrSnHg2P
1.0
5.720 0.000 0.000
0.000 5.720 0.000
0.000 0.000 6.168
Sr Hg P Sn
1 2 1 1
direct
0.000 0.000 0.000
0.000 0.500 0.000
0.500 0.000 0.000
0.500 0.500 0.500
0.000 0.000 0.500
```

## Properties
- energy of formation from the pure elements (kJ/mol of formula units) = 450
- symmetry = P4/mmm, No. 123
- raw total energy (eV per cell) = -200.26

---

(5)
Entry from Alexandria: TaSnHg2P at its PBEsol-relaxed geometry (meta-GGA SCAN).

POSCAR file:
```
TaSnHg2P
1.0
5.168 0.000 0.000
0.000 5.168 0.000
0.000 0.000 5.389
P Hg Sn Ta
1 2 1 1
direct
0.500 0.500 0.500
0.000 0.500 0.000
0.500 0.000 0.000
0.000 0.000 0.000
0.000 0.000 0.500
```

## Properties
- energy of formation from the pure elements (kJ/mol of formula units) = 737
- symmetry = P4/mmm, No. 123
- raw total energy (eV per cell) = -241.59

---

(6)
Entry from Alexandria: SrHg2P at its PBEsol-relaxed geometry (meta-GGA SCAN).

POSCAR file:
```
SrHg2P
1.0
4.286 -0.017 0.000
-0.043 4.285 0.000
-2.121 -2.134 5.570
Hg P Sr
2 1 1
direct
0.500 0.000 0.500
0.000 0.500 0.500
0.500 0.500 0.000
0.000 0.000 0.000
```

## Properties
- energy of formation from the pure elements (kJ/mol of formula units) = -124
- symmetry = Fmmm, No. 69
- raw total energy (eV per cell) = -170.29

---

(7)
Entry from Alexandria: Sr2Hg2P at its PBEsol-relaxed geometry (meta-GGA SCAN).

POSCAR file:
```
Sr2Hg2P
1.0
5.929 0.004 0.006
-2.709 5.274 -0.006
-2.709 -1.969 4.892
Sr Hg P
2 2 1
direct
0.500 0.750 0.250
0.500 0.250 0.750
0.000 0.669 0.669
0.000 0.331 0.331
0.000 0.000 0.000
```

## Properties
- energy of formation from the pure elements (kJ/mol of formula units) = -156
- symmetry = I4/mmm, No. 139
- raw total energy (eV per cell) = -192.89

---

(8)
Entry from Alexandria: Ta2HgP at its PBEsol-relaxed geometry (meta-GGA SCAN).

POSCAR file:
```
Ta2HgP
1.0
-2.918 0.668 0.373
0.042 -2.140 4.160
1.185 4.031 2.057
Hg P Ta
1 1 2
direct
0.500 0.000 0.000
0.500 0.500 0.500
0.000 0.500 0.000
0.000 0.000 0.500
```

## Properties
- energy of formation from the pure elements (kJ/mol of formula units) = 89
- symmetry = P4/mmm, No. 123
- raw total energy (eV per cell) = -210.81
- E above lowest polymorph (meV per atom) = 0

---

Which of these has the lowest raw total energy?
TaSnHg2P

---

What is the raw total energy in the seventh record?
-192.89 eV per cell